This record from the Alexandria database describes a relaxed BaLa2AlO crystal. The functional is PBE.

The structure in extended XYZ format:
```
5
Lattice="5.0781 0.0000 0.0000 0.0000 5.0781 0.0000 0.0000 0.0000 5.3856" Properties=species:S:1:pos:R:3 pbc="T T T"
Al 2.5390 2.5390 2.6928
La 0.0000 2.5390 0.0000
La 2.5390 0.0000 0.0000
Ba 0.0000 0.0000 2.6928
O 0.0000 0.0000 0.0000
```

- E_form (uncorrected) (eV per atom) = -1.16
- SG = P4/mmm (123)
- relative energy among the computed polymorphs (eV per atom) = 0.000